1.
The following is a DFT calculation (PBE) of Rb2Na5Si4 after structural relaxation.

Values from the calculation:
For the density, the calculation gives 1.75 g/cm³. The uncorrected formation energy comes out at 0.095 eV per atom. The space group is No. 12.

Lattice parameters (Å, degrees): 6.9161 7.7472 8.7911 68.87 66.84 63.49
With the nearest neighbours (Å) after each atom.
Positions (direct):
Si 0.4209 0.0115 0.1467  2 Si 2.31-2.41
Rb 0.7390 0.1353 0.3867  4 Si 3.68-3.90
Na 0.8537 0.6737 0.1017  4 Si 2.96-3.10, 1 Na 3.21
Si 0.7684 0.6863 0.7770  1 Si 2.31
Si 0.2316 0.3137 0.2230  1 Si 2.31
Na 0.6291 0.3263 0.8983  4 Si 2.96-3.10, 1 Na 3.21
Na 0.1463 0.3263 0.8983  4 Si 2.96-3.10, 1 Na 3.21
Na 0.3709 0.6737 0.1017  4 Si 2.96-3.10, 1 Na 3.21
Rb 0.2610 0.8647 0.6133  4 Si 3.68-3.90
Na 0.0000 0.5000 0.5000  2 Si 2.82
Si 0.5791 0.9885 0.8533  2 Si 2.31-2.41


2.
The following is a DFT calculation (PBE) of RbNa3Si after structural relaxation.

Values from the calculation:
The value obtained for the energy above the most stable polymorph in this dataset is 0 meV/atom. For the density, the calculation gives 1.65 g/cm³. The uncorrected formation energy comes out at 0.103 eV per atom. The space group is No. 15.

Lattice parameters (Å, degrees): 7.4525 10.5808 10.5808 64.42 79.94 79.94
With the nearest neighbours (Å) after each atom.
Positions (direct):
Na 0.9046 0.3538 0.0001  1 Si 3.16
Si 0.7747 0.2676 0.6024  1 Si 2.28
Na 0.4046 0.0001 0.3538  1 Si 3.16
Na 0.4219 0.3486 0.0003  1 Si 3.21, 1 Na 3.59
Rb 0.2500 0.3583 0.6417  6 Si 3.67-3.96, 4 Na 3.81-3.84
Na 0.4204 0.6682 0.6670  2 Si 3.18-3.23
Si 0.2747 0.6024 0.2676  1 Si 2.28
Na 0.0781 0.9997 0.6514  1 Si 3.21, 1 Na 3.59
Na 0.0796 0.3330 0.3318  2 Si 3.18-3.23
Na 0.5954 0.9999 0.6462  1 Si 3.16
Na 0.9204 0.6670 0.6682  2 Si 3.18-3.23
Na 0.5796 0.3318 0.3330  2 Si 3.18-3.23
Na 0.0954 0.6462 0.9999  1 Si 3.16
Na 0.5781 0.6514 0.9997  1 Si 3.21, 1 Na 3.59
Na 0.9219 0.0003 0.3486  1 Si 3.21, 1 Na 3.59
Si 0.2253 0.7324 0.3976  1 Si 2.28
Si 0.7253 0.3976 0.7324  1 Si 2.28
Rb 0.7500 0.6417 0.3583  6 Si 3.67-3.96, 4 Na 3.81-3.84
Rb 0.7500 0.0327 0.9673  2 Si 3.57, 2 Rb 3.80, 4 Na 3.89-3.94
Rb 0.2500 0.9673 0.0327  2 Si 3.57, 2 Rb 3.80, 4 Na 3.89-3.94


| no. | VASP energy (eV/cell) | DOS at the Fermi energy (states/eV/f.u.) |
| --- | --- | --- |
| 1 | -29.173 | 5.6 |
| 2 | -39.322 | 2.5 |